Entry 1:
Density functional theory data (SCAN) for a crystal of Li2ZnMo relaxed with PBEsol.

- Calculated volume: 58.2 Å³ per cell
- DFT formation energy: 0.17 eV/atom

a = 2.650 Å, b = 2.650 Å, c = 9.693 Å
α = 82.14°, β = 82.14°, γ = 60.00°
Sites, in units of the cell vectors:
Li  0.251  0.251  0.246
Li  0.749  0.749  0.754
Mo  0.500  0.500  0.500
Zn  0.000  0.000  0.000

---

Entry 2:
Density functional theory data (SCAN) for a crystal of LaSeS2 relaxed with PBEsol.

- Calculated volume: 123.4 Å³ per cell
- Formation energy (no corrections): -1.194 eV/atom

a = 4.324 Å, b = 4.324 Å, c = 8.020 Å
α = 74.36°, β = 74.36°, γ = 60.00°
Sites, in units of the cell vectors:
S  0.106  0.106  0.681
S  0.894  0.894  0.319
La  0.500  0.500  0.500
Se  0.000  0.000  0.000

---

Entry 3:
Density functional theory data (SCAN) for a crystal of CaBe2Al relaxed with PBEsol.

- Calculated volume: 61.5 Å³ per cell
- DFT formation energy: 0.39 eV/atom

a = 4.430 Å, b = 4.430 Å, c = 4.430 Å
α = 60.00°, β = 60.00°, γ = 60.00°
Sites, in units of the cell vectors:
Be  0.250  0.250  0.250
Be  0.000  0.000  0.000
Ca  0.750  0.750  0.750
Al  0.500  0.500  0.500

---

Entry 4:
Density functional theory data (SCAN) for a crystal of OsRhIN2 relaxed with PBEsol.

- Calculated volume: 82.7 Å³ per cell
- Energy relative to the lowest polymorph listed for this composition: 0.0000 eV/atom
- Formation energy (no corrections): 0.980 eV/atom

a = 3.755 Å, b = 3.755 Å, c = 5.861 Å
α = 90.00°, β = 90.00°, γ = 90.00°
Sites, in units of the cell vectors:
Rh  0.500  0.500  0.500
I  0.000  0.000  0.500
N  0.500  0.000  0.000
N  0.000  0.500  0.000
Os  0.000  0.000  0.000

---

Entry 5:
Density functional theory data (SCAN) for a crystal of MnTeOs2 relaxed with PBEsol.

- Calculated volume: 60.2 Å³ per cell
- Formation energy (no corrections): 0.639 eV/atom

a = 3.076 Å, b = 4.433 Å, c = 5.172 Å
α = 115.38°, β = 107.30°, γ = 90.00°
Sites, in units of the cell vectors:
Te  0.495  0.495  0.990
Os  0.236  0.736  0.471
Os  0.007  0.007  0.014
Mn  0.762  0.262  0.525

---

Entry 6:
Density functional theory data (SCAN) for a crystal of Na3FeO3 relaxed with PBEsol.

- Calculated volume: 379.0 Å³ per cell
- Formation energy (no corrections): -1.670 eV/atom

a = 5.725 Å, b = 5.794 Å, c = 12.574 Å
α = 90.00°, β = 90.00°, γ = 114.66°
Sites, in units of the cell vectors:
Na  0.357  0.806  0.722
Na  0.206  0.141  0.097
Na  0.739  0.282  0.016
Na  0.794  0.859  0.903
Na  0.294  0.359  0.597
Na  0.857  0.306  0.778
Na  0.761  0.218  0.516
Na  0.261  0.718  0.984
Na  0.143  0.694  0.222
Na  0.239  0.782  0.484
Na  0.643  0.194  0.278
Na  0.706  0.641  0.403
O  0.380  0.200  0.437
O  0.880  0.700  0.063
O  0.496  0.047  0.873
O  0.575  0.547  0.772
O  0.120  0.300  0.937
O  0.925  0.953  0.272
O  0.620  0.800  0.563
O  0.504  0.953  0.127
O  0.996  0.547  0.627
O  0.004  0.453  0.373
O  0.425  0.453  0.228
O  0.075  0.047  0.728
Fe  0.323  0.242  0.836
Fe  0.677  0.758  0.164
Fe  0.823  0.742  0.664
Fe  0.177  0.258  0.336